No. 1
# NbAs2Pt, relaxed, DFT PBE
data_NbAs2Pt
_symmetry_space_group_name_H-M 'F m -3 m'
_symmetry_Int_Tables_number 225
_symmetry_space_group_name_Hall '-F 4 2 3'
_cell_length_a 6.434
_cell_length_b 6.434
_cell_length_c 6.434
_cell_angle_alpha 90.00
_cell_angle_beta 90.00
_cell_angle_gamma 90.00
loop_
_atom_site_label
_atom_site_fract_x
_atom_site_fract_y
_atom_site_fract_z
Nb1 0.000 0.000 0.000
As1 0.250 0.250 0.250
Pt1 0.000 0.000 0.500
# - ΔH_f (0 K) (eV per atom) = -0.160
# - magnetization (μB/f.u.) = 0.00
# - DFT total energy (eV per cell) = -104.2

=====

No. 2
# In2SnGe2Rh5, relaxed, DFT PBE
data_In2SnGe2Rh5
_symmetry_space_group_name_H-M 'P 4/m b m'
_symmetry_Int_Tables_number 127
_symmetry_space_group_name_Hall '-P 4 2ab'
_cell_length_a 9.755
_cell_length_b 9.755
_cell_length_c 3.554
_cell_angle_alpha 90.00
_cell_angle_beta 90.00
_cell_angle_gamma 90.00
loop_
_atom_site_label
_atom_site_fract_x
_atom_site_fract_y
_atom_site_fract_z
In1 0.171 0.329 0.000
Sn1 0.000 0.000 0.000
Ge1 0.127 0.627 0.000
Rh1 0.000 0.500 0.500
Rh2 0.085 0.800 0.500
# - ΔH_f (0 K) (eV per atom) = -0.314
# - magnetization (μB/f.u.) = 0.00
# - DFT total energy (eV per cell) = -117.2